Entry 1:
Compound: LiTaNi6
Source: Alexandria via LeMat-Bulk
Functional: PBEsol
Structure: optimized geometry

For the formation energy, the calculation gives -18.30 kJ per mole of atoms. As for the density of states at the Fermi level: 0.9920 states/eV/atom. As for the mass density: 10.0 g cm⁻³.

The structure belongs to space group Cmmm (No. 65); the cell edges are 7.070, 10.061 and 10.059 Å and the angles 90.00°, 90.00° and 90.00°. Symmetry generates all atoms from Li at (0.000, 0.000, 0.246), Li at (0.000, 0.256, 0.000), Ta at (0.000, 0.253, 0.500), Ta at (0.000, 0.500, 0.243), Ni at (0.000, 0.000, 0.000), Ni at (0.000, 0.000, 0.500), Ni at (0.000, 0.249, 0.246), Ni at (0.000, 0.500, 0.000), Ni at (0.000, 0.500, 0.500), Ni at (0.245, 0.127, 0.122) and Ni at (0.246, 0.124, 0.373).



Entry 2:
Compound: Li2TaNi
Source: Alexandria via LeMat-Bulk
Functional: PBEsol
Structure: optimized geometry

As for the distance to the lowest polymorph of the same formula: 100 meV/atom. For the formation energy, the calculation gives 27.47 kJ per mole of atoms. As for the density of states at the Fermi level: 0.6519 states/eV/atom. As for the mass density: 7.3 g cm⁻³.

The structure belongs to space group R-3m (No. 166, hexagonal axes); the cell edges are 2.6880, 2.6880 and 27.6056 Å and the angles 90.00°, 90.00° and 120.00°. Symmetry generates all atoms from Li at (0.0000, 0.0000, 0.2392), Ta at (0.0000, 0.0000, 0.0000) and Ni at (0.0000, 0.0000, 0.5000).



Which of these has the lowest mass density? Li2TaNi



mass density of number 2 (Li2TaNi)? 7.3 g cm⁻³



Which value of mass density does entry 1 give? 10.0 g cm⁻³



Please write out number 1 again, unchanged.
Compound: LiTaNi6
Source: Alexandria via LeMat-Bulk
Functional: PBEsol
Structure: optimized geometry

For the formation energy, the calculation gives -18.30 kJ per mole of atoms. As for the density of states at the Fermi level: 0.9920 states/eV/atom. As for the mass density: 10.0 g cm⁻³.

The structure belongs to space group Cmmm (No. 65); the cell edges are 7.070, 10.061 and 10.059 Å and the angles 90.00°, 90.00° and 90.00°. Symmetry generates all atoms from Li at (0.000, 0.000, 0.246), Li at (0.000, 0.256, 0.000), Ta at (0.000, 0.253, 0.500), Ta at (0.000, 0.500, 0.243), Ni at (0.000, 0.000, 0.000), Ni at (0.000, 0.000, 0.500), Ni at (0.000, 0.249, 0.246), Ni at (0.000, 0.500, 0.000), Ni at (0.000, 0.500, 0.500), Ni at (0.245, 0.127, 0.122) and Ni at (0.246, 0.124, 0.373).